Version w
First-principles (GGA-PBE) data for Pr6ErTl2 after structural relaxation, as listed in Alexandria via LeMat-Bulk.

Cell lengths 6.8924, 6.8924, 12.2894 Å; angles 107.06, 107.06, 32.48 degrees
With the nearest neighbours (Å) after each atom.
Atoms (fractional coordinates):
Pr 0.0205 0.0205 0.3428  2 Tl 3.37, 5 Pr 3.61-3.71
Pr 0.3053 0.3053 0.4051  2 Tl 3.48, 10 Pr 3.53-3.85
Pr 0.3207 0.3207 0.1231  2 Tl 3.40, 5 Pr 3.53-3.69, 2 Er 3.72
Pr 0.6793 0.6793 0.8769  2 Tl 3.40, 5 Pr 3.53-3.69, 2 Er 3.72
Pr 0.6947 0.6947 0.5949  2 Tl 3.48, 10 Pr 3.53-3.85
Pr 0.9795 0.9795 0.6572  2 Tl 3.37, 5 Pr 3.61-3.71
Er 0.0000 0.0000 0.0000  4 Tl 3.14
Tl 0.3638 0.3638 0.8103  2 Er 3.14, 6 Pr 3.37-3.48
Tl 0.6362 0.6362 0.1897  2 Er 3.14, 6 Pr 3.37-3.48

Calculated values
Fermi-level density of states ... 10.7 states/eV/f.u.
Magnetization ... 0.00 μB per formula unit



Version x
First-principles (GGA-PBE) data for Pr6ErTl2 after structural relaxation, as listed in Alexandria via LeMat-Bulk.

Cell lengths 10.0879, 10.0879, 6.0526 Å; angles 97.34, 97.34, 72.40 degrees
With the nearest neighbours (Å) after each atom.
Atoms (fractional coordinates):
Pr 0.0550 0.8277 0.9654  4 Tl 3.29-3.54, 4 Pr 3.29-3.66, 1 Er 3.41
Pr 0.1390 0.3863 0.1663  4 Pr 3.29-3.61, 4 Tl 3.36-3.60
Pr 0.1723 0.9450 0.5346  4 Tl 3.29-3.54, 4 Pr 3.29-3.66, 1 Er 3.41
Pr 0.2758 0.4974 0.6983  5 Pr 3.43-3.73, 2 Tl 3.51-3.73, 3 Er 3.54-3.57
Pr 0.3863 0.1390 0.6663  4 Pr 3.29-3.61, 4 Tl 3.36-3.60
Pr 0.4974 0.2758 0.1983  5 Pr 3.43-3.73, 2 Tl 3.51-3.73, 3 Er 3.54-3.57
Pr 0.5026 0.7242 0.8017  5 Pr 3.43-3.73, 2 Tl 3.51-3.73, 3 Er 3.54-3.57
Pr 0.6137 0.8610 0.3337  4 Pr 3.29-3.61, 4 Tl 3.36-3.60
Pr 0.7242 0.5026 0.3017  5 Pr 3.43-3.73, 2 Tl 3.51-3.73, 3 Er 3.54-3.57
Pr 0.8277 0.0550 0.4654  4 Tl 3.29-3.54, 4 Pr 3.29-3.66, 1 Er 3.41
Pr 0.8610 0.6137 0.8337  4 Pr 3.29-3.61, 4 Tl 3.36-3.60
Pr 0.9450 0.1723 0.0346  4 Tl 3.29-3.54, 4 Pr 3.29-3.66, 1 Er 3.41
Er 0.3554 0.6446 0.2500  8 Pr 3.41-3.57
Er 0.6446 0.3554 0.7500  8 Pr 3.41-3.57
Tl 0.0180 0.2931 0.5991  9 Pr 3.29-3.60
Tl 0.2931 0.0180 0.0991  9 Pr 3.29-3.60
Tl 0.7069 0.9820 0.9009  9 Pr 3.29-3.60
Tl 0.9820 0.7069 0.4009  9 Pr 3.29-3.60

Calculated values
Fermi-level density of states ... 10.6 states/eV/f.u.
Magnetization ... 0.00 μB per formula unit



Energy above the most stable structure, in meV/atom: version w 0; version x 31